Record 1
DFT (PBEsol) results for a relaxed structure of SrMn3Sb.

Cell lengths 4.990, 4.990, 4.990 Å; angles 90.00, 90.00, 90.00 degrees
Fractional coordinates of all 5 atoms:
1 Sr 0.000 0.000 0.000
2 Mn 0.000 0.500 0.500
3 Mn 0.500 0.000 0.500
4 Mn 0.500 0.500 0.000
5 Sb 0.500 0.500 0.500

Properties
As for the magnetization: 10.4 μB per formula unit. For the formation energy without anion corrections, the calculation gives 0.844 eV per atom. As for the density of states at the Fermi level: 1.502 states/eV/atom. Its crystal system is cubic. The calculated total energy comes out at -6.2924 eV per atom.


Record 2
DFT (PBEsol) results for a relaxed structure of Fe2WBr.

Cell lengths 4.852, 4.852, 4.852 Å; angles 135.37, 135.37, 64.96 degrees
Fractional coordinates of all 4 atoms:
1 Fe 0.000 0.000 0.000
2 Fe 0.750 0.250 0.500
3 W 0.500 0.500 0.000
4 Br 0.250 0.750 0.500

Properties
As for the magnetization: 4.5 μB per formula unit. For the formation energy without anion corrections, the calculation gives 1.021 eV per atom. As for the density of states at the Fermi level: 1.066 states/eV/atom. Its crystal system is tetragonal. The calculated total energy comes out at -7.3806 eV per atom. The calculation puts the offset from the most stable computed form at 580 meV/atom.


Record 3
DFT (PBEsol) results for a relaxed structure of TaRu4.

Cell lengths 4.717, 4.717, 4.717 Å; angles 99.38, 99.38, 132.37 degrees
Fractional coordinates of all 5 atoms:
1 Ta 0.000 0.000 0.000
2 Ru 0.190 0.404 0.594
3 Ru 0.404 0.810 0.214
4 Ru 0.596 0.190 0.786
5 Ru 0.810 0.596 0.406

Properties
As for the magnetization: 0.0 μB per formula unit. As for the density of states at the Fermi level: 0.993 states/eV/atom. Its crystal system is tetragonal. For the formation energy, the calculation gives -1.56 kcal/mol of atoms. The calculated total energy comes out at -10.7158 eV per atom.


Record 4
DFT (PBEsol) results for a relaxed structure of TiAl2I.

Cell lengths 4.881, 4.881, 4.881 Å; angles 60.00, 60.00, 60.00 degrees
Fractional coordinates of all 4 atoms:
1 Ti 0.000 0.000 0.000
2 Al 0.250 0.250 0.250
3 Al 0.750 0.750 0.750
4 I 0.500 0.500 0.500

Properties
As for the magnetization: 2.0 μB per formula unit. For the formation energy without anion corrections, the calculation gives 0.668 eV per atom. As for the density of states at the Fermi level: 0.822 states/eV/atom. Its crystal system is cubic. The calculated total energy comes out at -3.9003 eV per atom.


Record 5
DFT (PBEsol) results for a relaxed structure of Ba2CdSb.

Cell lengths 4.881, 6.823, 6.823 Å; angles 42.17, 90.00, 90.00 degrees
Fractional coordinates of all 4 atoms:
1 Ba 0.000 0.000 0.000
2 Ba 0.500 0.276 0.276
3 Cd 0.000 0.714 0.714
4 Sb 0.500 0.563 0.563

Properties
As for the magnetization: 0.0 μB per formula unit. For the formation energy without anion corrections, the calculation gives -0.699 eV per atom. As for the density of states at the Fermi level: 0.751 states/eV/atom. Its crystal system is orthorhombic. The calculated total energy comes out at -3.2118 eV per atom. The calculation puts the offset from the most stable computed form at 0 meV/atom.


Record 6
DFT (PBEsol) results for a relaxed structure of Y4FeOs.

Cell lengths 5.782, 5.782, 5.782 Å; angles 60.00, 60.00, 60.00 degrees
Fractional coordinates of all 6 atoms:
1 Y 0.376 0.376 0.376
2 Y 0.376 0.376 0.873
3 Y 0.376 0.873 0.376
4 Y 0.873 0.376 0.376
5 Fe 0.000 0.000 0.000
6 Os 0.750 0.750 0.750

Properties
As for the magnetization: 1.8 μB per formula unit. As for the density of states at the Fermi level: 1.469 states/eV/atom. Its crystal system is cubic. For the formation energy, the calculation gives 26.26 kcal/mol of atoms. The calculated total energy comes out at -6.9391 eV per atom.


Record 7
DFT (PBEsol) results for a relaxed structure of V6Si5.

Cell lengths 9.041, 9.041, 9.041 Å; angles 131.65, 58.36, 149.32 degrees
Fractional coordinates of all 22 atoms:
1 V 0.060 0.250 0.810
2 V 0.066 0.247 0.312
3 V 0.143 0.613 0.756
4 V 0.357 0.113 0.470
5 V 0.434 0.747 0.181
6 V 0.440 0.250 0.190
7 V 0.560 0.750 0.810
8 V 0.566 0.253 0.819
9 V 0.643 0.887 0.530
10 V 0.857 0.387 0.244
11 V 0.934 0.753 0.688
12 V 0.940 0.750 0.190
13 Si 0.064 0.909 0.973
14 Si 0.214 0.298 0.512
15 Si 0.250 0.750 0.500
16 Si 0.286 0.798 0.084
17 Si 0.436 0.409 0.845
18 Si 0.564 0.591 0.155
19 Si 0.714 0.202 0.916
20 Si 0.750 0.250 0.500
21 Si 0.786 0.702 0.488
22 Si 0.936 0.091 0.027

Properties
As for the magnetization: 0.0 μB per formula unit. For the formation energy without anion corrections, the calculation gives -0.612 eV per atom. As for the density of states at the Fermi level: 0.701 states/eV/atom. Its crystal system is orthorhombic. The calculated total energy comes out at -8.4790 eV per atom.


Record 8
DFT (PBEsol) results for a relaxed structure of CaHgIr2.

Cell lengths 4.644, 4.644, 4.644 Å; angles 60.00, 60.00, 60.00 degrees
Fractional coordinates of all 4 atoms:
1 Ca 0.000 0.000 0.000
2 Hg 0.250 0.250 0.250
3 Ir 0.500 0.500 0.500
4 Ir 0.750 0.750 0.750

Properties
As for the magnetization: 1.1 μB per formula unit. As for the density of states at the Fermi level: 1.227 states/eV/atom. Its crystal system is cubic. For the formation energy, the calculation gives 6.49 kcal/mol of atoms. The calculated total energy comes out at -5.3053 eV per atom.


Record 9
DFT (PBEsol) results for a relaxed structure of VPO4.

Cell lengths 4.698, 4.698, 6.270 Å; angles 90.00, 90.00, 112.77 degrees
Fractional coordinates of all 12 atoms:
1 V 0.000 0.000 0.000
2 V 0.000 0.000 0.500
3 P 0.349 0.651 0.750
4 P 0.651 0.349 0.250
5 O 0.219 0.287 0.750
6 O 0.243 0.757 0.547
7 O 0.243 0.757 0.953
8 O 0.287 0.219 0.250
9 O 0.713 0.781 0.750
10 O 0.757 0.243 0.047
11 O 0.757 0.243 0.453
12 O 0.781 0.713 0.250

Properties
As for the magnetization: 2.0 μB per formula unit. For the formation energy without anion corrections, the calculation gives -2.224 eV per atom. As for the density of states at the Fermi level: 0.696 states/eV/atom. Its crystal system is orthorhombic. The calculated total energy comes out at -8.2941 eV per atom.


Record 10
DFT (PBEsol) results for a relaxed structure of Li4Cr3Co5O16.

Cell lengths 5.565, 5.565, 9.065 Å; angles 90.17, 90.17, 60.58 degrees
Fractional coordinates of all 28 atoms:
1 Li 0.000 0.000 0.000
2 Li 0.003 0.003 0.498
3 Li 0.341 0.341 0.604
4 Li 0.674 0.674 0.111
5 Cr 0.180 0.180 0.286
6 Cr 0.351 0.834 0.785
7 Cr 0.834 0.351 0.785
8 Co 0.175 0.661 0.284
9 Co 0.340 0.340 0.011
10 Co 0.661 0.175 0.284
11 Co 0.673 0.673 0.506
12 Co 0.830 0.830 0.783
13 O 0.002 0.002 0.691
14 O 0.003 0.003 0.191
15 O 0.051 0.482 0.150
16 O 0.176 0.176 0.891
17 O 0.177 0.669 0.893
18 O 0.342 0.342 0.397
19 O 0.342 0.842 0.391
20 O 0.482 0.051 0.150
21 O 0.484 0.484 0.157
22 O 0.528 0.963 0.650
23 O 0.529 0.529 0.651
24 O 0.669 0.177 0.893
25 O 0.671 0.671 0.902
26 O 0.839 0.839 0.394
27 O 0.842 0.342 0.391
28 O 0.963 0.528 0.650

Properties
As for the magnetization: 4.9 μB per formula unit. For the formation energy without anion corrections, the calculation gives -1.561 eV per atom. As for the density of states at the Fermi level: 0.450 states/eV/atom. Its crystal system is monoclinic. The calculated total energy comes out at -7.3210 eV per atom.


Record 11
DFT (PBEsol) results for a relaxed structure of KZn4Rh.

Cell lengths 5.156, 5.156, 5.156 Å; angles 60.00, 60.00, 60.00 degrees
Fractional coordinates of all 6 atoms:
1 K 0.000 0.000 0.000
2 Zn 0.130 0.623 0.623
3 Zn 0.623 0.130 0.623
4 Zn 0.623 0.623 0.130
5 Zn 0.623 0.623 0.623
6 Rh 0.250 0.250 0.250

Properties
As for the magnetization: 0.0 μB per formula unit. As for the density of states at the Fermi level: 0.583 states/eV/atom. Its crystal system is cubic. For the formation energy, the calculation gives 4.41 kcal/mol of atoms. The calculated total energy comes out at -2.4086 eV per atom.


Record 12
DFT (PBEsol) results for a relaxed structure of AlCuTc2.

Cell lengths 2.696, 2.696, 8.741 Å; angles 98.59, 98.59, 59.94 degrees
Fractional coordinates of all 4 atoms:
1 Al 0.000 0.000 0.000
2 Cu 0.500 0.500 0.500
3 Tc 0.248 0.248 0.749
4 Tc 0.752 0.752 0.251

Properties
As for the magnetization: 0.0 μB per formula unit. As for the density of states at the Fermi level: 1.017 states/eV/atom. Its crystal system is monoclinic. For the formation energy, the calculation gives 2.46 kcal/mol of atoms. The calculated total energy comes out at -7.6331 eV per atom.